## YTa2W (PBE)

Data for a relaxed structure of YTa2W.

a = 5.7702 Å, b = 9.7676 Å, c = 2.7991 Å
α = 90.00°, β = 90.00°, γ = 90.00°
Space group Cmmm (No. 65)
Symmetry-distinct sites (fractional):
1 Y 0.0000 0.0000 0.0000 x2
2 Ta 0.2500 0.2500 0.5000 x4
3 W 0.0000 0.5000 0.0000 x2

Output
Its crystal system is orthorhombic. The calculation puts the formation energy at 0.57 eV/atom. The value obtained for the energy above the most stable polymorph in this dataset is 317 meV per atom. The calculation puts the total magnetization at 0.00 μB per cell. Its density of states at the Fermi level is 1.317 states/eV/atom.